Entry 1:
First-principles (meta-GGA SCAN) data for H at its PBEsol-relaxed geometry, as listed in Alexandria via LeMat-Bulk.

It has space group Pmma (No. 51), with a = 5.308 Å, b = 2.991 Å, c = 3.113 Å, α = 90.00°, β = 90.00° and γ = 90.00°. Symmetry generates all atoms from H at (0.250, 0.000, 0.249).

As for the energy above the lowest structure with this stoichiometry: 35.56 kcal/mol of atoms.

---

Entry 2:
First-principles (meta-GGA SCAN) data for H at its PBEsol-relaxed geometry, as listed in Alexandria via LeMat-Bulk.

It has space group P6/mmm (No. 191), with a = 3.0704 Å, b = 3.0704 Å, c = 2.9018 Å, α = 90.00°, β = 90.00° and γ = 120.00°. Symmetry generates all atoms from H at (0.0000, 0.0000, 0.0000).

As for the energy above the lowest structure with this stoichiometry: 35.66 kcal/mol of atoms.

---

Entry 3:
First-principles (meta-GGA SCAN) data for H at its PBEsol-relaxed geometry, as listed in Alexandria via LeMat-Bulk.

It has space group P6_3/mmc (No. 194), with a = 3.3084 Å, b = 3.3084 Å, c = 5.3983 Å, α = 90.00°, β = 90.00° and γ = 120.00°. Symmetry generates all atoms from H at (0.3333, 0.6667, 0.2500).

As for the energy above the lowest structure with this stoichiometry: 35.21 kcal/mol of atoms.